1.
Entry from Alexandria: a geometry-optimized Er3GaSe structure (GGA-PBE).

Calculated values
Formation energy without anion corrections, meV/atom: -733.0

```
20
Lattice="9.079 0.000 0.000 0.000 6.316 0.000 -4.315 0.000 8.995" Properties=species:S:1:pos:R:3 pbc="T T T"
Er -0.468 0.434 3.231
Er -2.626 2.724 7.729
Er -0.246 3.680 5.000
Er 1.911 5.794 0.503
Er -0.060 0.566 7.176
Er 2.098 2.592 2.678
Er 2.666 3.724 6.317
Er 4.823 5.750 1.819
Er 2.853 0.522 8.493
Er 5.010 2.636 3.995
Er 7.389 3.591 1.267
Er 5.232 5.882 5.764
Ga 0.185 4.141 8.116
Ga 2.342 5.332 3.618
Ga 2.422 0.983 5.377
Ga 4.579 2.174 0.879
Se -1.927 1.519 5.347
Se 0.231 1.639 0.849
Se 4.533 4.677 8.146
Se 6.691 4.797 3.648
```


2.
Entry from Alexandria: a geometry-optimized Li2Ca5Cd12 structure (GGA-PBE).

Calculated values
E_form, eV per formula unit: -4.8

```
19
Lattice="8.151 -3.944 0.000 8.151 3.944 0.000 -0.218 0.000 7.486" Properties=species:S:1:pos:R:3 pbc="T T T"
Li 8.151 2.397 0.000
Li 8.151 -2.397 0.000
Ca 3.362 0.000 0.235
Ca 4.064 0.000 4.223
Ca 8.042 0.000 3.743
Ca 12.020 0.000 3.263
Ca 12.722 0.000 7.251
Cd 0.657 0.000 5.148
Cd 6.219 2.410 4.969
Cd 5.771 1.512 1.853
Cd 9.864 2.410 2.517
Cd 6.467 0.000 6.775
Cd 10.313 1.512 5.633
Cd 5.771 -1.512 1.853
Cd 9.617 0.000 0.711
Cd 6.219 -2.410 4.969
Cd 10.313 -1.512 5.633
Cd 9.864 -2.410 2.517
Cd 15.427 0.000 2.337
```


3.
Entry from Alexandria: a geometry-optimized MnSiP4 structure (GGA-PBE).

Calculated values
Formation energy without anion corrections, meV/atom: 703.8

```
6
Lattice="0.000 3.570 3.570 3.570 0.000 3.570 3.570 3.570 0.000" Properties=species:S:1:pos:R:3 pbc="T T T"
Mn 0.000 0.000 0.000
Si 1.785 1.785 1.785
P 4.469 2.671 2.671
P 2.671 4.469 2.671
P 2.671 2.671 4.469
P 4.469 4.469 4.469
```


| no. | DOS at the Fermi energy (states/eV/atom) | electronic total energy (eV/atom) |
| --- | --- | --- |
| 1 | 0.887 | -4.773 |
| 2 | 0.514 | -1.557 |
| 3 | 0.549 | -5.335 |